1.
YMoAu2 (GGA-PBE, optimized geometry); formation energy = 5.880 kcal/mol of atoms; volume = 20.585 Å³/atom; offset from the most stable computed form = 345.3 meV per atom
1.0
1.6269 0.9393 8.9799
-1.6269 0.9393 8.9799
0.0000 -1.8786 8.9799
Y Mo Au
1 1 2
Direct
0.0000 0.0000 0.0000
0.7548 0.7548 0.7548
0.2464 0.2464 0.2464
0.4964 0.4964 0.4964

---

2.
NaAg10Au2 (GGA-PBE, optimized geometry); formation energy = 0.032 kcal/mol of atoms; volume = 19.690 Å³/atom
1.0
0.0000 6.8281 6.8418
2.7395 0.0000 6.8418
2.7395 6.8281 0.0000
Na Ag Au
1 10 2
Direct
0.0000 0.0000 0.0000
0.0000 0.5000 0.0000
0.0009 0.3531 0.6469
0.2836 0.4988 0.5012
0.3531 0.0009 0.9991
0.4988 0.2836 0.7164
0.5000 0.0000 0.5000
0.5012 0.7164 0.2836
0.6469 0.9991 0.0009
0.7164 0.5012 0.4988
0.9991 0.6469 0.3531
0.0000 0.0000 0.5000
0.5000 0.5000 0.0000

---

3.
Zn2InSi (GGA-PBE, optimized geometry); volume = 18.810 Å³/atom; formation energy from raw total energies = 0.848 eV/f.u.; offset from the most stable computed form = 0.0 meV per atom
1.0
1.6497 0.9525 7.9809
-1.6497 0.9525 7.9809
0.0000 -1.9049 7.9809
Zn In Si
2 1 1
Direct
0.2395 0.2395 0.2395
0.7605 0.7605 0.7605
0.0000 0.0000 0.0000
0.5000 0.5000 0.5000

---

4.
DyPuPdPt (GGA-PBE, optimized geometry); formation energy = -18.276 kcal/mol of atoms; volume = 21.646 Å³/atom; offset from the most stable computed form = 54.3 meV per atom
1.0
0.0000 3.5113 3.5113
3.5113 0.0000 3.5113
3.5113 3.5113 0.0000
Dy Pu Pd Pt
1 1 1 1
Direct
0.0000 0.0000 0.0000
0.5000 0.5000 0.5000
0.2500 0.2500 0.2500
0.7500 0.7500 0.7500

---

Among the records above, which one has the lowest volume? Zn2InSi